The following is a DFT calculation (PBE with a Hubbard U) of crystalline TlCrRu2O8 at its relaxed geometry.

Output
Electronic total energy in eV per atom: -6.607
Total magnetization in μB/f.u.: 7.035
Symmetry: P-3, No. 147

Cell: 5.3203 5.3203 8.1893 Å, 90.00 90.00 120.00°
Closest atoms and distances in Å follow each position.
Atoms (fractional coordinates):
Tl 0.0000 0.0000 0.0000  12 O 3.13-3.31
Cr 0.0000 0.0000 0.5000  6 O 2.02
Ru 0.3333 0.6667 0.7136  4 O 1.76-1.81
Ru 0.6667 0.3333 0.2864  4 O 1.76-1.81
O 0.0365 0.3209 0.6479  1 Ru 1.81, 1 Cr 2.02
O 0.2844 0.9635 0.6479  1 Ru 1.81, 1 Cr 2.02
O 0.3209 0.2844 0.3521  1 Ru 1.81, 1 Cr 2.02
O 0.3333 0.6667 0.9283  1 Ru 1.76
O 0.6667 0.3333 0.0717  1 Ru 1.76
O 0.6791 0.7156 0.6479  1 Ru 1.81, 1 Cr 2.02
O 0.7156 0.0365 0.3521  1 Ru 1.81, 1 Cr 2.02
O 0.9635 0.6791 0.3521  1 Ru 1.81, 1 Cr 2.02